No. 1
# LaEr2Hg2

An optimized crystal structure of LaEr2Hg2 (PBE-GGA, Alexandria via LeMat-Bulk).

Structure (extended XYZ):
```
10
Lattice="3.704 0.000 -0.496 0.000 5.434 0.000 -0.017 0.000 13.940" Properties=species:S:1:pos:R:3 pbc="T T T"
Er 2.821 1.358 6.976
Er 3.509 1.358 12.126
Hg 2.383 4.075 3.700
Hg 2.009 1.358 0.941
Hg 1.304 1.358 9.745
Er 0.178 4.075 1.318
Er 0.866 4.075 6.469
La 0.541 1.358 3.996
Hg 1.678 4.075 12.503
La 3.147 4.075 9.448
```

Values from the calculation:
Final energy (Ry/atom): -0.243
ΔE to the lowest computed polymorph (eV/f.u.): 0.00
Crystal system: monoclinic
ΔE_f (meV per atom): -373
Fermi-level density of states (states/eV/cell): 9.468

No. 2
# La2ErHg2

An optimized crystal structure of La2ErHg2 (PBE-GGA, Alexandria via LeMat-Bulk).

Structure (extended XYZ):
```
5
Lattice="4.909 0.000 0.000 2.455 5.600 -0.244 2.455 1.265 5.461" Properties=species:S:1:pos:R:3 pbc="T T T"
Hg 4.909 4.407 1.326
La 2.455 2.129 1.618
Er 0.000 0.000 0.000
La 7.364 4.735 3.599
Hg 4.909 2.457 3.891
```

Values from the calculation:
Final energy (Ry/atom): -0.247
ΔE to the lowest computed polymorph (eV/f.u.): 0.00
Crystal system: orthorhombic
ΔE_f (meV per atom): -354
Fermi-level density of states (states/eV/cell): 5.720

No. 3
# La2ErHg

An optimized crystal structure of La2ErHg (PBE-GGA, Alexandria via LeMat-Bulk).

Structure (extended XYZ):
```
8
Lattice="5.111 0.015 -1.419 -0.410 5.095 -1.419 -0.071 -0.077 9.659" Properties=species:S:1:pos:R:3 pbc="T T T"
La 2.520 -0.031 4.120
Hg 0.970 3.825 -1.419
Hg 3.731 1.285 -1.419
La -0.241 2.509 4.120
Er 2.986 3.246 5.836
Er 1.644 1.787 0.986
La 4.042 4.394 -0.264
La 0.588 0.639 7.086
```

Values from the calculation:
Final energy (Ry/atom): -0.288
ΔE to the lowest computed polymorph (eV/f.u.): 0.00
Crystal system: tetragonal
ΔE_f (meV per atom): -237
Fermi-level density of states (states/eV/cell): 9.214

No. 4
# La2ErHg

An optimized crystal structure of La2ErHg (PBE-GGA, Alexandria via LeMat-Bulk).

Structure (extended XYZ):
```
4
Lattice="-2.477 2.013 -1.780 1.099 -1.399 -3.112 -7.133 -6.568 2.499" Properties=species:S:1:pos:R:3 pbc="T T T"
La -6.282 -6.935 0.899
Er -3.577 -3.950 0.512
La -2.800 -0.718 -0.667
Hg -5.454 -4.954 -1.764
```

Values from the calculation:
Final energy (Ry/atom): -0.278
ΔE to the lowest computed polymorph (eV/f.u.): 0.51
Crystal system: orthorhombic
ΔE_f (meV per atom): -109
Fermi-level density of states (states/eV/cell): 5.776

No. 5
# LaErHg

An optimized crystal structure of LaErHg (PBE-GGA, Alexandria via LeMat-Bulk).

Structure (extended XYZ):
```
3
Lattice="3.957 0.000 0.000 0.000 5.171 0.000 0.000 -2.585 4.478" Properties=species:S:1:pos:R:3 pbc="T T T"
La 2.638 2.585 1.493
Hg 0.659 0.000 2.985
Er 0.661 0.000 0.000
```

Values from the calculation:
Final energy (Ry/atom): -0.256
ΔE to the lowest computed polymorph (eV/f.u.): 0.33
Crystal system: hexagonal
ΔE_f (meV per atom): -225
Fermi-level density of states (states/eV/cell): 3.762

No. 6
# La6ErHg5

An optimized crystal structure of La6ErHg5 (PBE-GGA, Alexandria via LeMat-Bulk).

Structure (extended XYZ):
```
12
Lattice="5.362 0.002 -1.115 -0.003 7.904 -0.001 -0.958 0.001 8.810" Properties=species:S:1:pos:R:3 pbc="T T T"
La 2.680 2.161 -0.558
La 1.721 5.746 8.252
Hg -0.002 3.952 0.000
Hg 3.183 7.905 1.881
La 0.591 5.957 2.860
La 3.810 1.950 4.834
Er 0.000 0.000 0.000
La 0.592 1.948 2.860
La 3.808 5.959 4.834
Hg 1.151 3.953 5.481
Hg 1.218 0.001 5.813
Hg 3.250 3.954 2.213
```

Values from the calculation:
Final energy (Ry/atom): -0.246
Crystal system: monoclinic
ΔE_f (meV per atom): -375
Fermi-level density of states (states/eV/cell): 16.160